1.
The following is a DFT calculation (PBE) of an optimized crystal structure of FeCu6Pd12.

Unit cell a=11.8649 b=11.8649 c=6.6958 alpha=90.00 beta=90.00 gamma=120.00
Space group R-3 (No. 148, hexagonal axes)
Symmetry-distinct sites (fractional):
Fe1 0.0000 0.0000 0.0000 (multiplicity 3)
Cu1 0.0348 0.2811 0.3316 (multiplicity 18)
Pd1 0.0149 0.1409 0.6671 (multiplicity 18)
Pd2 0.0688 0.5613 0.6700 (multiplicity 18)

D(E_F) = 0.871 states/eV per atom
Calculated formation energy = -82 meV/atom
DFT total energy = -5.100 eV per atom

2.
The following is a DFT calculation (PBE) of an optimized crystal structure of ScIn2Tc.

Unit cell a=4.1640 b=4.1640 c=4.4740 alpha=90.00 beta=90.00 gamma=90.00
Space group P4/mmm (No. 123)
Symmetry-distinct sites (fractional):
Sc1 0.0000 0.0000 0.0000 (multiplicity 1)
In1 0.0000 0.5000 0.5000 (multiplicity 2)
Tc1 0.5000 0.5000 0.0000 (multiplicity 1)

D(E_F) = 0.579 states/eV per atom
Calculated formation energy = -61 meV/atom
DFT total energy = -5.605 eV per atom

3.
The following is a DFT calculation (PBE) of an optimized crystal structure of SnGeIr2Pd.

Unit cell a=4.6121 b=4.6121 c=4.6729 alpha=90.00 beta=90.00 gamma=90.00
Space group P4/mmm (No. 123)
Symmetry-distinct sites (fractional):
Sn1 0.0000 0.0000 0.0000 (multiplicity 1)
Ge1 0.5000 0.5000 0.5000 (multiplicity 1)
Ir1 0.0000 0.5000 0.5000 (multiplicity 2)
Pd1 0.5000 0.5000 0.0000 (multiplicity 1)

D(E_F) = 0.865 states/eV per atom
Calculated formation energy = 587 meV/atom
DFT total energy = -5.720 eV per atom

4.
The following is a DFT calculation (PBE) of an optimized crystal structure of GeBSbTe2.

Unit cell a=4.8759 b=4.8759 c=4.8778 alpha=90.00 beta=90.00 gamma=90.00
Space group P4/mmm (No. 123)
Symmetry-distinct sites (fractional):
Ge1 0.0000 0.0000 0.0000 (multiplicity 1)
B1 0.5000 0.5000 0.5000 (multiplicity 1)
Sb1 0.5000 0.5000 0.0000 (multiplicity 1)
Te1 0.0000 0.5000 0.5000 (multiplicity 2)

Formation energy (no corrections) = 0.723 eV/atom
D(E_F) = 0.623 states/eV per atom
DFT total energy = -3.617 eV per atom